The following is a PBE-GGA calculation of a relaxed BaLiMg3 crystal, from Alexandria.

The structure in extended XYZ format:
```
10
Lattice="5.777 0.000 0.000 0.000 6.836 -2.860 0.000 -0.753 7.799" Properties=species:S:1:pos:R:3 pbc="T T T"
Ba 1.444 2.094 5.005
Ba 4.333 3.989 -0.066
Li 0.000 0.000 0.000
Li 2.889 0.000 0.000
Mg 4.333 -0.097 5.278
Mg 4.333 1.020 2.438
Mg 1.444 5.063 2.501
Mg 4.333 3.827 3.637
Mg 1.444 6.180 -0.339
Mg 1.444 2.256 1.302
```

Formation enthalpy at 0 K in eV per atom: -0.03
Crystal system: orthorhombic
D(E_F) in states/eV per cell: 7.795
Theoretical density in Mg/m³: 2.4
Size of the total moment in μB/cell: 0.000